(1)
Below is a relaxed structure of Hf5Mn2Cd2, with properties calculated at the PBE-GGA level.

POSCAR file:
```
Hf5Mn2Cd2
1.0
7.773 -3.410 0.000
7.773 3.410 0.000
0.000 0.000 6.831
Hf Mn Cd
10 4 4
direct
0.000 0.000 0.000 Hf
0.082 0.687 0.694 Hf
0.187 0.582 0.194 Hf
0.313 0.918 0.694 Hf
0.418 0.813 0.194 Hf
0.500 0.500 0.500 Hf
0.582 0.187 0.806 Hf
0.687 0.082 0.306 Hf
0.813 0.418 0.806 Hf
0.918 0.313 0.306 Hf
0.108 0.892 0.390 Mn
0.392 0.608 0.890 Mn
0.608 0.392 0.110 Mn
0.892 0.108 0.610 Mn
0.233 0.233 0.000 Cd
0.267 0.267 0.500 Cd
0.733 0.733 0.500 Cd
0.767 0.767 0.000 Cd
```

Output
Theoretical density = 11.3 g/cm3
Energy of formation = -10 meV per atom
Total moment = 0.0000 μB/atom
Symmetry = Cmce (64)
Total DFT energy (no corrections) = -140.05 eV per cell

(2)
Below is a relaxed structure of Hf5Mn4Cd, with properties calculated at the PBE-GGA level.

POSCAR file:
```
Hf5Mn4Cd
1.0
3.175 0.000 0.000
0.000 3.175 0.000
0.000 0.000 16.923
Hf Mn Cd
5 4 1
direct
0.000 0.000 0.000 Hf
0.000 0.000 0.188 Hf
0.000 0.000 0.370 Hf
0.000 0.000 0.630 Hf
0.000 0.000 0.812 Hf
0.500 0.500 0.093 Mn
0.500 0.500 0.284 Mn
0.500 0.500 0.716 Mn
0.500 0.500 0.907 Mn
0.500 0.500 0.500 Cd
```

Output
Theoretical density = 11.9 g/cm3
Energy of formation = -128 meV per atom
Total moment = 0.1941 μB/atom
Symmetry = P4/mmm (123)
Total DFT energy (no corrections) = -88.64 eV per cell

(3)
Below is a relaxed structure of HfMn4Cd, with properties calculated at the PBE-GGA level.

POSCAR file:
```
HfMn4Cd
1.0
0.000 3.460 3.460
3.460 0.000 3.460
3.460 3.460 0.000
Hf Mn Cd
1 4 1
direct
0.000 0.000 0.000 Hf
0.127 0.624 0.624 Mn
0.624 0.127 0.624 Mn
0.624 0.624 0.127 Mn
0.624 0.624 0.624 Mn
0.250 0.250 0.250 Cd
```

Output
Theoretical density = 10.2 g/cm3
Energy of formation = 57 meV per atom
Total moment = 0.2466 μB/atom
Symmetry = F-43m (216)
Total DFT energy (no corrections) = -47.20 eV per cell

(4)
Below is a relaxed structure of Hf3MnCd, with properties calculated at the PBE-GGA level.

POSCAR file:
```
Hf3MnCd
1.0
4.811 0.000 0.000
0.000 4.811 0.000
0.000 0.000 4.811
Hf Mn Cd
3 1 1
direct
0.000 0.000 0.500 Hf
0.000 0.500 0.000 Hf
0.500 0.000 0.000 Hf
0.000 0.000 0.000 Mn
0.500 0.500 0.500 Cd
```

Output
Theoretical density = 10.5 g/cm3
Energy of formation = 357 meV per atom
Total moment = 0.0000 μB/atom
Symmetry = Pm-3m (221)
Total DFT energy (no corrections) = -38.16 eV per cell

(5)
Below is a relaxed structure of Hf3MnCd, with properties calculated at the PBE-GGA level.

POSCAR file:
```
Hf3MnCd
1.0
5.099 0.000 0.000
0.000 5.099 0.000
0.000 0.000 5.099
Hf Mn Cd
3 1 1
direct
0.000 0.000 0.500 Hf
0.000 0.500 0.000 Hf
0.500 0.000 0.000 Hf
0.500 0.500 0.500 Mn
0.000 0.000 0.000 Cd
```

Output
Theoretical density = 8.8 g/cm3
Energy of formation = 1919 meV per atom
Total moment = 0.1163 μB/atom
Symmetry = Pm-3m (221)
Total DFT energy (no corrections) = -30.35 eV per cell

(6)
Below is a relaxed structure of Hf2MnCd2, with properties calculated at the PBE-GGA level.

POSCAR file:
```
Hf2MnCd2
1.0
3.102 0.000 0.000
0.000 3.102 0.000
0.000 0.000 20.319
Hf Mn Cd
4 2 4
direct
0.000 0.000 0.076 Hf
0.000 0.000 0.924 Hf
0.500 0.500 0.424 Hf
0.500 0.500 0.576 Hf
0.000 0.000 0.500 Mn
0.500 0.500 0.000 Mn
0.000 0.000 0.306 Cd
0.000 0.000 0.694 Cd
0.500 0.500 0.194 Cd
0.500 0.500 0.806 Cd
```

Output
Theoretical density = 10.8 g/cm3
Energy of formation = -88 meV per atom
Total moment = 0.0000 μB/atom
Symmetry = I4/mmm (139)
Total DFT energy (no corrections) = -62.69 eV per cell